DFT (GGA-PBE) results for an optimized crystal structure of NdTmZnSn.

Energy (eV per cell): -65.82
Energy of formation from the pure elements (eV/atom): -0.485

Unit cell a=7.4054 b=7.4054 c=7.4054 alpha=90.00 beta=90.00 gamma=90.00
With the nearest neighbours (Å) after each atom.
Space group F-43m (No. 216)
Asymmetric unit:
1 Nd 0.0000 0.0000 0.0000 (multiplicity 4)  4 Sn 3.21, 4 Zn 3.21
2 Tm 0.0000 0.0000 0.5000 (multiplicity 4)  4 Zn 3.21, 4 Sn 3.21
3 Zn 0.2500 0.2500 0.7500 (multiplicity 4)  4 Nd 3.21, 4 Tm 3.21
4 Sn 0.2500 0.2500 0.2500 (multiplicity 4)  4 Nd 3.21, 4 Tm 3.21